Entry 1:
ZrBiRu2 | PBE | optimized geometry

The structure belongs to space group I-42d (No. 122); the cell edges are 4.306, 4.306 and 17.949 Å and the angles 90.00°, 90.00° and 90.00°. The inequivalent atoms are Zr at (0.000, 0.000, 0.000), Bi at (0.000, 0.000, 0.500) and Ru at (0.196, 0.250, 0.125).

The total energy is -7.31 eV/atom. The value obtained for the formation energy is 168 kJ/mol of formula units.


Entry 2:
Zr2BiRu2 | PBE | optimized geometry

The structure belongs to space group P4/mbm (No. 127); the cell edges are 7.736, 7.736 and 3.290 Å and the angles 90.00°, 90.00° and 90.00°. The inequivalent atoms are Zr at (0.157, 0.343, 0.000), Bi at (0.000, 0.000, 0.500) and Ru at (0.134, 0.634, 0.500).

The total energy is -8.18 eV/atom. The value obtained for the formation energy is -132 kJ/mol of formula units.


Entry 3:
Zr3BiRu | PBE | optimized geometry

The structure belongs to space group Pm-3m (No. 221); the cell edges are 5.315, 5.315 and 5.315 Å and the angles 90.00°, 90.00° and 90.00°. The inequivalent atoms are Zr at (0.000, 0.000, 0.500), Bi at (0.000, 0.000, 0.000) and Ru at (0.500, 0.500, 0.500).

The total energy is -6.19 eV/atom. The value obtained for the formation energy is 760 kJ/mol of formula units.


Entry 4:
ZrBiRu2 | PBE | optimized geometry

The structure belongs to space group P4/mmm (No. 123); the cell edges are 3.370, 3.370 and 6.555 Å and the angles 90.00°, 90.00° and 90.00°. The inequivalent atoms are Zr at (0.000, 0.000, 0.000), Bi at (0.000, 0.000, 0.500) and Ru at (0.500, 0.500, 0.235).

The total energy is -7.86 eV/atom. The value obtained for the formation energy is -43 kJ/mol of formula units.


Entry 5:
BiS | PBE | optimized geometry

The structure belongs to space group P6_3/mmc (No. 194); the cell edges are 4.9432, 4.9432 and 6.0038 Å and the angles 90.00°, 90.00° and 120.00°. The inequivalent atoms are Bi at (0.3333, 0.6667, 0.2500) and S at (0.3333, 0.6667, 0.7500).

The total energy is -3.92 eV/atom. For the uncorrected formation energy, the calculation gives 0.082 eV/atom.


Entry 6:
BiS | PBE | optimized geometry

The structure belongs to space group Fddd (No. 70, origin choice 2); the cell edges are 5.963, 11.472 and 16.966 Å and the angles 90.00°, 90.00° and 90.00°. The inequivalent atoms are Bi at (0.125, 0.306, 0.125) and S at (0.125, 0.125, 0.025).

The total energy is -4.07 eV/atom. For the uncorrected formation energy, the calculation gives -0.070 eV/atom.


Entry 7:
BiS | PBE | optimized geometry

The structure belongs to space group Pmmn (No. 59, origin choice 2); the cell edges are 5.660, 15.226 and 3.725 Å and the angles 90.00°, 90.00° and 90.00°. The inequivalent atoms are Bi at (0.250, 0.082, 0.186), Bi at (0.250, 0.750, 0.404), S at (0.250, 0.250, 0.479) and S at (0.250, 0.607, 0.927).

The total energy is -4.13 eV/atom. For the uncorrected formation energy, the calculation gives -0.125 eV/atom.


Entry 8:
BiS | PBE | optimized geometry

The structure belongs to space group Cm (No. 8); the cell edges are 8.236, 7.743 and 4.218 Å and the angles 90.00°, 119.96° and 90.00°. The inequivalent atoms are Bi at (0.000, 0.000, 0.000), Bi at (0.108, 0.500, 0.954) and S at (0.178, 0.256, 0.472).

The total energy is -4.20 eV/atom. For the uncorrected formation energy, the calculation gives -0.191 eV/atom.